(1)
# MgMoOs2 (PBE-GGA, optimized geometry)
data_MgMoOs2
_space_group_name_H-M_alt 'C m m m'
_space_group_IT_number 65
_space_group_name_Hall '-C 2 2'
_cell_length_a 2.975
_cell_length_b 4.587
_cell_length_c 9.030
_cell_angle_alpha 90.00
_cell_angle_beta 90.00
_cell_angle_gamma 90.00
loop_
_atom_site_label
_atom_site_fract_x
_atom_site_fract_y
_atom_site_fract_z
_atom_site_occupancy
Mg1 0.000 0.000 0.000 1
Mo1 0.000 0.000 0.500 1
Os1 0.000 0.500 0.255 1
# Mass density = 13496 kg/m³
# Formation enthalpy at 0 K = 0.27 eV/atom

(2)
# MgMoOs2 (PBE-GGA, optimized geometry)
data_MgMoOs2
_space_group_name_H-M_alt 'P 4 m m'
_space_group_IT_number 99
_space_group_name_Hall 'P 4 -2'
_cell_length_a 2.766
_cell_length_b 2.766
_cell_length_c 8.252
_cell_angle_alpha 90.00
_cell_angle_beta 90.00
_cell_angle_gamma 90.00
loop_
_atom_site_label
_atom_site_fract_x
_atom_site_fract_y
_atom_site_fract_z
_atom_site_occupancy
Mg1 0.000 0.000 0.000 1
Mo1 0.500 0.500 0.280 1
Os1 0.000 0.000 0.538 1
Os2 0.500 0.500 0.746 1
# Mass density = 13164 kg/m³
# Formation enthalpy at 0 K = 0.21 eV/atom

(3)
# Mg2MoOs (PBE-GGA, optimized geometry)
data_Mg2MoOs
_space_group_name_H-M_alt 'C 1 2/m 1'
_space_group_IT_number 12
_space_group_name_Hall '-C 2y'
_cell_length_a 10.274
_cell_length_b 3.174
_cell_length_c 4.407
_cell_angle_alpha 90.00
_cell_angle_beta 115.24
_cell_angle_gamma 90.00
loop_
_atom_site_label
_atom_site_fract_x
_atom_site_fract_y
_atom_site_fract_z
_atom_site_occupancy
Mg1 0.240 0.000 0.240 1
Mo1 0.000 0.000 0.500 1
Os1 0.000 0.500 0.000 1
# Mass density = 8552 kg/m³
# Formation enthalpy at 0 K = 0.24 eV/atom

(4)
# Mg2MoOs2 (PBE-GGA, optimized geometry)
data_Mg2MoOs2
_space_group_name_H-M_alt 'I 4/m m m'
_space_group_IT_number 139
_space_group_name_Hall '-I 4 2'
_cell_length_a 3.520
_cell_length_b 3.520
_cell_length_c 15.276
_cell_angle_alpha 90.00
_cell_angle_beta 90.00
_cell_angle_gamma 90.00
loop_
_atom_site_label
_atom_site_fract_x
_atom_site_fract_y
_atom_site_fract_z
_atom_site_occupancy
Mg1 0.000 0.000 0.102 1
Mo1 0.000 0.000 0.500 1
Os1 0.000 0.500 0.250 1
# Mass density = 9212 kg/m³
# Formation enthalpy at 0 K = 1.00 eV/atom